Record 1
Density functional theory data (PBE) for an optimized crystal structure of RbTa2IrPd.

Cell lengths 4.757, 4.688, 4.757 Å; angles 90.00, 90.00, 90.00 degrees
Positions (direct):
1 Ir 0.000 0.500 0.000
2 Rb 0.000 0.000 0.000
3 Pd 0.500 0.500 0.500
4 Ta 0.000 0.000 0.500
5 Ta 0.500 0.000 0.000

- formation energy from the elements (eV/atom) = 3.091

Record 2
Density functional theory data (PBE) for an optimized crystal structure of Hg2IrRhN.

Cell lengths 4.858, 3.725, 4.858 Å; angles 90.00, 90.00, 90.00 degrees
Positions (direct):
1 Ir 0.000 0.500 0.000
2 Rh 0.500 0.500 0.500
3 Hg 0.000 0.000 0.500
4 Hg 0.500 0.000 0.000
5 N 0.000 0.000 0.000

- formation energy without anion corrections (eV per atom) = 0.83

Record 3
Density functional theory data (PBE) for an optimized crystal structure of LiNpGa6.

Cell lengths 4.546, 6.122, 6.122 Å; angles 119.99, 90.00, 90.00 degrees
Site moments in Bohr magnetons follow the coordinates.
Positions (direct):
1 Li 0.000 0.083 0.917  -0.01
2 Np 0.500 0.417 0.583  3.75
3 Ga 0.000 0.051 0.400  0.01
4 Ga 0.000 0.600 0.949  0.01
5 Ga 0.000 0.599 0.401  0.01
6 Ga 0.500 0.408 0.079  0.02
7 Ga 0.500 0.921 0.592  0.02
8 Ga 0.500 0.921 0.079  0.02

- formation energy from the elements (eV/atom) = -0.173

Record 4
Density functional theory data (PBE) for an optimized crystal structure of AlMoPt2.

Cell lengths 4.751, 4.751, 2.754 Å; angles 90.00, 90.00, 90.00 degrees
Site moments in Bohr magnetons follow the coordinates.
Positions (direct):
1 Mo 0.000 0.500 0.500  0.10
2 Al 0.500 0.000 0.500  0.00
3 Pt 0.000 0.000 0.000  0.01
4 Pt 0.500 0.500 0.000  0.01

- formation energy from the elements (eV/atom) = -0.430

Record 5
Density functional theory data (PBE) for an optimized crystal structure of IrAuSN2.

Cell lengths 3.736, 3.736, 5.585 Å; angles 90.00, 90.00, 90.00 degrees
Site moments in Bohr magnetons follow the coordinates.
Positions (direct):
1 S 0.000 0.000 0.500  0.00
2 Ir 0.000 0.000 0.000  -0.02
3 Au 0.500 0.500 0.500  0.00
4 N 0.000 0.500 0.000  0.12
5 N 0.500 0.000 0.000  0.12

- formation energy without anion corrections (eV per atom) = 0.90

Record 6
Density functional theory data (PBE) for an optimized crystal structure of AlCdFe2.

Cell lengths 3.125, 3.125, 5.905 Å; angles 90.00, 90.00, 90.00 degrees
Site moments in Bohr magnetons follow the coordinates.
Positions (direct):
1 Al 0.500 0.500 0.250  -0.06
2 Fe 0.000 0.000 0.046  2.11
3 Fe 0.000 0.000 0.454  2.11
4 Cd 0.500 0.500 0.750  -0.05

- formation energy from the elements (eV/atom) = 0.086

Record 7
Density functional theory data (PBE) for an optimized crystal structure of Pr3Nd12Cd.

Cell lengths 5.145, 5.145, 20.802 Å; angles 90.00, 90.00, 90.00 degrees
Positions (direct):
1 Pr 0.000 0.000 0.246
2 Pr 0.000 0.000 0.500
3 Pr 0.000 0.000 0.754
4 Nd 0.500 0.500 0.000
5 Nd 0.500 0.500 0.244
6 Nd 0.500 0.500 0.500
7 Nd 0.500 0.500 0.756
8 Nd 0.500 0.000 0.120
9 Nd 0.500 0.000 0.373
10 Nd 0.500 0.000 0.627
11 Nd 0.500 0.000 0.880
12 Nd 0.000 0.500 0.120
13 Nd 0.000 0.500 0.373
14 Nd 0.000 0.500 0.627
15 Nd 0.000 0.500 0.880
16 Cd 0.000 0.000 0.000

- formation energy from the elements (eV/atom) = -0.009

Record 8
Density functional theory data (PBE) for an optimized crystal structure of NaPmP2.

Cell lengths 4.936, 4.936, 4.936 Å; angles 60.00, 60.00, 60.00 degrees
Positions (direct):
1 P 0.250 0.250 0.250
2 P 0.750 0.750 0.750
3 Na 0.500 0.500 0.500
4 Pm 0.000 0.000 0.000

- formation energy from the elements (eV/atom) = -0.511